A crystal of CaZrBi relaxed with PBEsol, computed with SCAN.

The calculation puts the electronic total energy at -121.0 eV/f.u.

The space group is P4/nmm (No. 129, origin choice 2) and the conventional cell measures 4.402, 4.402 and 8.367 Å, with angles of 90.00, 90.00 and 90.00 degrees. The inequivalent atoms are Ca at (0.250, 0.250, 0.159), Zr at (0.250, 0.750, 0.500) and Bi at (0.250, 0.250, 0.762).

---

A crystal of TaInBr relaxed with PBEsol, computed with SCAN.

The calculation puts the electronic total energy at -115.3 eV/f.u. The value obtained for the energy above the most stable polymorph in this dataset is 1104 meV per atom. For the uncorrected formation energy, the calculation gives 395 kJ/mol of formula units.

The space group is F-43m (No. 216) and the conventional cell measures 6.458, 6.458 and 6.458 Å, with angles of 90.00, 90.00 and 90.00 degrees. The inequivalent atoms are Ta at (0.000, 0.000, 0.000), In at (0.000, 0.000, 0.500) and Br at (0.250, 0.250, 0.750).

---

A crystal of BaTl3S relaxed with PBEsol, computed with SCAN.

The calculation puts the electronic total energy at -266.9 eV/f.u. For the uncorrected formation energy, the calculation gives -61 kJ/mol of formula units.

The space group is Pm-3m (No. 221) and the conventional cell measures 5.596, 5.596 and 5.596 Å, with angles of 90.00, 90.00 and 90.00 degrees. The inequivalent atoms are Ba at (0.000, 0.000, 0.000), Tl at (0.000, 0.500, 0.500) and S at (0.500, 0.500, 0.500).

---

A crystal of Sr2InHg2 relaxed with PBEsol, computed with SCAN.

The calculation puts the electronic total energy at -217.3 eV/f.u.

The space group is P4/mbm (No. 127) and the conventional cell measures 8.280, 8.280 and 4.329 Å, with angles of 90.00, 90.00 and 90.00 degrees. The inequivalent atoms are Sr at (0.176, 0.324, 0.000), In at (0.000, 0.000, 0.500) and Hg at (0.126, 0.626, 0.500).

---

A crystal of YBe2Pt relaxed with PBEsol, computed with SCAN.

The calculation puts the electronic total energy at -108.0 eV/f.u. The value obtained for the energy above the most stable polymorph in this dataset is 552 meV per atom.

The space group is I-4m2 (No. 119) and the conventional cell measures 4.427, 4.427 and 6.279 Å, with angles of 90.00, 90.00 and 90.00 degrees. The inequivalent atoms are Y at (0.000, 0.000, 0.000), Be at (0.000, 0.000, 0.500), Be at (0.000, 0.500, 0.250) and Pt at (0.000, 0.500, 0.750).

---

A crystal of CuSiNi relaxed with PBEsol, computed with SCAN.

The calculation puts the electronic total energy at -42.1 eV/f.u. For the uncorrected formation energy, the calculation gives -71 kJ/mol of formula units.

The space group is Imm2 (No. 44) and the conventional cell measures 2.654, 3.294 and 7.570 Å, with angles of 90.00, 90.00 and 90.00 degrees. The inequivalent atoms are Cu at (0.000, 0.000, 0.000), Si at (0.000, 0.000, 0.329) and Ni at (0.000, 0.000, 0.677).

---

A crystal of YSbRu2 relaxed with PBEsol, computed with SCAN.

The calculation puts the electronic total energy at -134.4 eV/f.u. For the uncorrected formation energy, the calculation gives 33 kJ/mol of formula units.

The space group is F-43m (No. 216) and the conventional cell measures 6.625, 6.625 and 6.625 Å, with angles of 90.00, 90.00 and 90.00 degrees. The inequivalent atoms are Y at (0.000, 0.000, 0.000), Sb at (0.250, 0.250, 0.250), Ru at (0.000, 0.000, 0.500) and Ru at (0.250, 0.250, 0.750).

---

A crystal of In5Ag relaxed with PBEsol, computed with SCAN.

The calculation puts the electronic total energy at -197.8 eV/f.u. The value obtained for the energy above the most stable polymorph in this dataset is 18 meV per atom.

The space group is Cm (No. 8) and the conventional cell measures 13.364, 3.253 and 6.630 Å, with angles of 90.00, 104.60 and 90.00 degrees. The inequivalent atoms are In at (0.000, 0.000, 0.000), In at (0.008, 0.000, 0.476), In at (0.164, 0.500, 0.822), In at (0.320, 0.000, 0.167), In at (0.329, 0.000, 0.644) and Ag at (0.164, 0.500, 0.323).

---

A crystal of Li3TeOs relaxed with PBEsol, computed with SCAN.

The calculation puts the electronic total energy at -112.8 eV/f.u. For the uncorrected formation energy, the calculation gives 335 kJ/mol of formula units.

The space group is Pm-3m (No. 221) and the conventional cell measures 4.793, 4.793 and 4.793 Å, with angles of 90.00, 90.00 and 90.00 degrees. The inequivalent atoms are Li at (0.000, 0.000, 0.500), Te at (0.500, 0.500, 0.500) and Os at (0.000, 0.000, 0.000).

---

A crystal of CdReRu2 relaxed with PBEsol, computed with SCAN.

The calculation puts the electronic total energy at -169.3 eV/f.u.

The space group is Cmmm (No. 65) and the conventional cell measures 5.638, 7.590 and 2.761 Å, with angles of 90.00, 90.00 and 90.00 degrees. The inequivalent atoms are Cd at (0.000, 0.000, 0.000), Re at (0.000, 0.500, 0.000) and Ru at (0.250, 0.250, 0.500).

---

A crystal of LiMn2Br relaxed with PBEsol, computed with SCAN.

The calculation puts the electronic total energy at -57.6 eV/f.u. The value obtained for the energy above the most stable polymorph in this dataset is 190 meV per atom. For the uncorrected formation energy, the calculation gives 74 kJ/mol of formula units.

The space group is I-4m2 (No. 119) and the conventional cell measures 3.814, 3.814 and 8.772 Å, with angles of 90.00, 90.00 and 90.00 degrees. The inequivalent atoms are Li at (0.000, 0.000, 0.000), Mn at (0.000, 0.000, 0.500), Mn at (0.000, 0.500, 0.250) and Br at (0.000, 0.500, 0.750).

---

A crystal of LiMgHgN2 relaxed with PBEsol, computed with SCAN.

The calculation puts the electronic total energy at -88.2 eV/f.u. For the uncorrected formation energy, the calculation gives 574 kJ/mol of formula units.

The space group is P4/mmm (No. 123) and the conventional cell measures 3.895, 3.895 and 4.339 Å, with angles of 90.00, 90.00 and 90.00 degrees. The inequivalent atoms are Li at (0.000, 0.000, 0.000), Mg at (0.500, 0.500, 0.500), Hg at (0.000, 0.000, 0.500) and N at (0.000, 0.500, 0.000).

---

A crystal of MgMo5 relaxed with PBEsol, computed with SCAN.

The calculation puts the electronic total energy at -177.0 eV/f.u.

The space group is Amm2 (No. 38) and the conventional cell measures 4.639, 2.582 and 15.778 Å, with angles of 90.00, 90.00 and 90.00 degrees. The inequivalent atoms are Mg at (0.000, 0.000, 0.000), Mo at (0.000, 0.000, 0.331), Mo at (0.000, 0.000, 0.665), Mo at (0.500, 0.000, 0.238), Mo at (0.500, 0.000, 0.571) and Mo at (0.500, 0.000, 0.903).

---

A crystal of Si3TePt relaxed with PBEsol, computed with SCAN.

The calculation puts the electronic total energy at -135.5 eV/f.u. For the uncorrected formation energy, the calculation gives 193 kJ/mol of formula units.

The space group is Pm-3m (No. 221) and the conventional cell measures 4.717, 4.717 and 4.717 Å, with angles of 90.00, 90.00 and 90.00 degrees. The inequivalent atoms are Si at (0.000, 0.000, 0.500), Te at (0.500, 0.500, 0.500) and Pt at (0.000, 0.000, 0.000).

---

A crystal of LiP2Ru relaxed with PBEsol, computed with SCAN.

The calculation puts the electronic total energy at -59.5 eV/f.u. The value obtained for the energy above the most stable polymorph in this dataset is 0 meV per atom.

The space group is C2/m (No. 12) and the conventional cell measures 7.464, 2.918 and 5.014 Å, with angles of 90.00, 99.47 and 90.00 degrees. The inequivalent atoms are Li at (0.000, 0.000, 0.000), P at (0.236, 0.000, 0.719) and Ru at (0.000, 0.500, 0.500).

---

A crystal of KCoI2O relaxed with PBEsol, computed with SCAN.

The calculation puts the electronic total energy at -102.1 eV/f.u. For the uncorrected formation energy, the calculation gives 317 kJ/mol of formula units.

The space group is P4/mmm (No. 123) and the conventional cell measures 6.121, 6.121 and 4.473 Å, with angles of 90.00, 90.00 and 90.00 degrees. The inequivalent atoms are K at (0.000, 0.000, 0.000), Co at (0.500, 0.500, 0.500), I at (0.000, 0.500, 0.000) and O at (0.000, 0.000, 0.500).

---

A crystal of NbAlB2 relaxed with PBEsol, computed with SCAN.

The calculation puts the electronic total energy at -54.3 eV/f.u.

The space group is I-42d (No. 122) and the conventional cell measures 5.950, 5.950 and 5.302 Å, with angles of 90.00, 90.00 and 90.00 degrees. The inequivalent atoms are Nb at (0.000, 0.000, 0.000), Al at (0.000, 0.000, 0.500) and B at (0.234, 0.750, 0.625).

---

A crystal of SrSi2IrN relaxed with PBEsol, computed with SCAN.

The calculation puts the electronic total energy at -106.8 eV/f.u. For the uncorrected formation energy, the calculation gives 1530 kJ/mol of formula units.

The space group is P4/mmm (No. 123) and the conventional cell measures 5.573, 5.573 and 4.973 Å, with angles of 90.00, 90.00 and 90.00 degrees. The inequivalent atoms are Sr at (0.000, 0.000, 0.000), Si at (0.000, 0.500, 0.000), Ir at (0.000, 0.000, 0.500) and N at (0.500, 0.500, 0.500).

---

A crystal of Ba2ScTa relaxed with PBEsol, computed with SCAN.

The calculation puts the electronic total energy at -155.4 eV/f.u.

The space group is Cmmm (No. 65) and the conventional cell measures 6.638, 10.823 and 3.274 Å, with angles of 90.00, 90.00 and 90.00 degrees. The inequivalent atoms are Ba at (0.250, 0.250, 0.000), Sc at (0.000, 0.000, 0.500) and Ta at (0.000, 0.500, 0.500).

---

A crystal of CuReSe4 relaxed with PBEsol, computed with SCAN.

The calculation puts the electronic total energy at -157.1 eV/f.u. For the uncorrected formation energy, the calculation gives 920 kJ/mol of formula units.

The space group is F-43m (No. 216) and the conventional cell measures 7.697, 7.697 and 7.697 Å, with angles of 90.00, 90.00 and 90.00 degrees. The inequivalent atoms are Cu at (0.000, 0.000, 0.000), Re at (0.250, 0.250, 0.250) and Se at (0.125, 0.125, 0.625).

---

For each record above, in turn, the calculated N(E_F) values are 0.328 0.628 0.909 0.722 0.484 0.393 0.722 0.362 0.188 1.003 0.590 0.418 0.849 0.623 0.332 1.508 0.202 0.855 1.469 0.485 states/eV per atom.